1.
# Pm7Si2Sn2 | the Alexandria database | PBE | relaxed
data_Pm7Si2Sn2
_chemical_formula_sum 'Pm14 Si4 Sn4'
_cell_length_a 4.4362
_cell_length_b 15.0145
_cell_length_c 9.8470
_cell_angle_alpha 90.00
_cell_angle_beta 90.00
_cell_angle_gamma 90.00
_space_group_name_H-M_alt 'I m m 2'
_space_group_IT_number 44
loop_
_space_group_symop_operation_xyz
'x,y,z'
'-x,-y,z'
'-x,y,z'
'x,-y,z'
'x+1/2,y+1/2,z+1/2'
'-x+1/2,-y+1/2,z+1/2'
'-x+1/2,y+1/2,z+1/2'
'x+1/2,-y+1/2,z+1/2'
loop_
_atom_site_label
_atom_site_fract_x
_atom_site_fract_y
_atom_site_fract_z
_atom_site_occupancy
Pm1 0.0000 0.0000 0.0000 1
Pm2 0.0000 0.1093 0.4003 1
Pm3 0.0000 0.3194 0.6325 1
Pm4 0.0000 0.3718 0.2255 1
Si1 0.0000 0.0000 0.6698 1
Si2 0.0000 0.5000 0.7403 1
Sn1 0.0000 0.2290 0.9242 1
# total energy: -116.563 eV/cell


2.
# Pm6Si2SnTe3 | the Alexandria database | PBE | relaxed
data_Pm6Si2SnTe3
_chemical_formula_sum 'Pm12 Si4 Sn2 Te6'
_cell_length_a 19.3246
_cell_length_b 4.3745
_cell_length_c 8.9126
_cell_angle_alpha 90.00
_cell_angle_beta 104.27
_cell_angle_gamma 90.00
_space_group_name_H-M_alt 'C 1 2/m 1'
_space_group_IT_number 12
loop_
_space_group_symop_operation_xyz
'x,y,z'
'-x,-y,-z'
'-x,y,-z'
'x,-y,z'
'x+1/2,y+1/2,z'
'-x+1/2,-y+1/2,-z'
'-x+1/2,y+1/2,-z'
'x+1/2,-y+1/2,z'
loop_
_atom_site_label
_atom_site_fract_x
_atom_site_fract_y
_atom_site_fract_z
_atom_site_occupancy
Pm1 0.0086 0.0000 0.2511 1
Pm2 0.1672 0.5000 0.1049 1
Pm3 0.1735 0.5000 0.5680 1
Si1 0.1679 0.0000 0.3353 1
Sn1 0.0000 0.5000 0.0000 1
Te1 0.0000 0.5000 0.5000 1
Te2 0.1644 0.0000 0.8323 1
# total energy: -132.249 eV/cell


3.
# SrPmSi3 | the Alexandria database | PBE | relaxed
data_SrPmSi3
_chemical_formula_sum 'Sr4 Pm4 Si12'
_cell_length_a 4.5895
_cell_length_b 25.1260
_cell_length_c 3.9851
_cell_angle_alpha 90.00
_cell_angle_beta 90.00
_cell_angle_gamma 90.00
_space_group_name_H-M_alt 'C m c m'
_space_group_IT_number 63
_space_group_name_Hall '-C 2c 2'
loop_
_atom_site_label
_atom_site_fract_x
_atom_site_fract_y
_atom_site_fract_z
_atom_site_occupancy
Sr1 0.0000 0.0719 0.2500 1
Pm1 0.0000 0.2026 0.7500 1
Si1 0.0000 0.3224 0.7500 1
Si2 0.0000 0.3788 0.2500 1
Si3 0.0000 0.4751 0.2500 1
# total energy: -101.359 eV/cell


4.
# SrPm4Si4 | the Alexandria database | PBE | relaxed
data_SrPm4Si4
_chemical_formula_sum 'Sr2 Pm8 Si8'
_cell_length_a 9.6552
_cell_length_b 9.6552
_cell_length_c 5.8909
_cell_angle_alpha 90.00
_cell_angle_beta 90.00
_cell_angle_gamma 90.00
_space_group_name_H-M_alt 'P 42/n'
_space_group_IT_number 86
loop_
_space_group_symop_operation_xyz
'x,y,z'
'-x,-y,-z'
'-y,x+1/2,z+1/2'
'y,-x+1/2,-z+1/2'
'-x+1/2,-y+1/2,z'
'x+1/2,y+1/2,-z'
'y+1/2,-x,z+1/2'
'-y+1/2,x,-z+1/2'
loop_
_atom_site_label
_atom_site_fract_x
_atom_site_fract_y
_atom_site_fract_z
_atom_site_occupancy
Sr1 0.2500 0.2500 0.2500 1
Pm1 0.1113 0.6326 0.1261 1
Si1 0.0565 0.5787 0.6336 1
# total energy: -92.981 eV/cell


5.
# SrPm6Si4 | the Alexandria database | PBE | relaxed
data_SrPm6Si4
_chemical_formula_sum 'Sr1 Pm6 Si4'
_cell_length_a 9.2567
_cell_length_b 9.2567
_cell_length_c 4.1819
_cell_angle_alpha 90.00
_cell_angle_beta 90.00
_cell_angle_gamma 120.00
_space_group_name_H-M_alt 'P -6 m 2'
_space_group_IT_number 187
_space_group_name_Hall 'P -6 2'
loop_
_atom_site_label
_atom_site_fract_x
_atom_site_fract_y
_atom_site_fract_z
_atom_site_occupancy
Sr1 0.0000 0.0000 0.0000 1
Pm1 0.1962 0.3923 0.5000 1
Pm2 0.5406 0.0812 0.0000 1
Si1 0.3333 0.6667 0.0000 1
Si2 0.3442 0.1721 0.5000 1
# total energy: -56.501 eV/cell


6.
# SrPm2Si6 | the Alexandria database | PBE | relaxed
data_SrPm2Si6
_chemical_formula_sum 'Sr2 Pm4 Si12'
_cell_length_a 4.0321
_cell_length_b 9.2259
_cell_length_c 11.4134
_cell_angle_alpha 90.00
_cell_angle_beta 90.00
_cell_angle_gamma 90.00
_space_group_name_H-M_alt 'I m m m'
_space_group_IT_number 71
_space_group_name_Hall '-I 2 2'
loop_
_atom_site_label
_atom_site_fract_x
_atom_site_fract_y
_atom_site_fract_z
_atom_site_occupancy
Sr1 0.0000 0.0000 0.0000 1
Pm1 0.0000 0.5000 0.1586 1
Si1 0.0000 0.1430 0.5000 1
Si2 0.0000 0.2581 0.3161 1
# total energy: -93.482 eV/cell